# 1
Compound: KAl2CdAs
Source: the Alexandria database
Functional: GGA-PBE
Structure: relaxed

Calculated values
Formation energy = 0.63 eV/atom
Final energy = -2.1955 eV/atom
Space group = P4/mmm (123)

Geometry as POSCAR:
```
KAl2CdAs
1.0
-4.1947 0.7732 2.7551
0.0119 -5.5466 1.5748
2.8615 1.1514 4.0336
As Al K Cd
1 2 1 1
Cartesian
-0.6606 -1.8110 4.1818
1.4308 0.5757 2.0168
-2.0974 0.3866 1.3775
0.0060 -2.7733 0.7874
0.0000 0.0000 0.0000
```

---

# 2
Compound: La2AlCdAs
Source: the Alexandria database
Functional: GGA-PBE
Structure: relaxed

Calculated values
Formation energy = -0.32 eV/atom
Final energy = -4.1477 eV/atom
Space group = P4/mmm (123)

Geometry as POSCAR:
```
La2AlCdAs
1.0
-4.7180 -0.5386 3.2965
2.5545 -2.2822 3.2832
1.2129 5.0394 2.5593
As Cd Al La
1 1 1 2
Cartesian
0.0000 0.0000 0.0000
-0.4753 1.1093 4.5695
1.2772 -1.1411 1.6416
0.6065 2.5197 1.2796
-2.3590 -0.2693 1.6482
```

---

# 3
Compound: LiAlCdAs2
Source: the Alexandria database
Functional: GGA-PBE
Structure: relaxed

Calculated values
Formation energy = 0.60 eV/atom
Final energy = -2.5746 eV/atom
Space group = P4/mmm (123)

Geometry as POSCAR:
```
LiAlCdAs2
1.0
5.1720 0.0000 0.0000
0.0000 4.9069 0.0000
0.0000 0.0000 5.1720
As Li Al Cd
2 1 1 1
Cartesian
0.0000 0.0000 2.5860
2.5860 0.0000 0.0000
0.0000 2.4534 0.0000
2.5860 2.4534 2.5860
0.0000 0.0000 0.0000
```